[1]
Entry from the Alexandria database: a relaxed structure of Mg2Ag2Rh (PBE).

Output
N(E_F): 5.247 states/eV per cell
density: 6.9 Mg/m³
energy of formation: 0.0084 eV per atom
total magnetization: 0.00 μB per formula unit
SG: No. 127

abc: 6.9801 6.9801 3.6339
angles: 90.00 90.00 90.00
With the nearest neighbours (Å) after each atom.
Element x y z (fractional)
Mg: 0.3495 0.8495 0.0000  6 Ag 2.64-2.80, 2 Rh 2.66
Mg: 0.8495 0.6505 0.0000  6 Ag 2.64-2.80, 2 Rh 2.66
Mg: 0.6505 0.1505 0.0000  6 Ag 2.64-2.80, 2 Rh 2.66
Mg: 0.1505 0.3495 0.0000  6 Ag 2.64-2.80, 2 Rh 2.66
Rh: 0.0000 0.0000 0.0000  4 Mg 2.66
Rh: 0.5000 0.5000 0.0000  4 Mg 2.66
Ag: 0.1548 0.6548 0.5000  6 Mg 2.64-2.80
Ag: 0.6548 0.8452 0.5000  6 Mg 2.64-2.80
Ag: 0.8452 0.3452 0.5000  6 Mg 2.64-2.80
Ag: 0.3452 0.1548 0.5000  6 Mg 2.64-2.80

[2]
Entry from the Alexandria database: a relaxed structure of MgAg2Rh (PBE).

Output
N(E_F): 2.239 states/eV per cell
density: 8.6 Mg/m³
energy of formation: -0.1496 eV per atom
total magnetization: 0.00 μB per formula unit
SG: No. 123

abc: 3.9543 3.9576 4.2432
angles: 90.00 90.00 90.00
With the nearest neighbours (Å) after each atom.
Element x y z (fractional)
Mg: 0.5000 0.0000 0.5000  4 Rh 2.80, 8 Ag 2.90
Rh: 0.0000 0.5000 0.5000  4 Mg 2.80, 8 Ag 2.90
Ag: 0.0000 0.0000 0.0000  4 Ag 2.80, 4 Mg 2.90, 4 Rh 2.90
Ag: 0.5000 0.5000 0.0000  4 Ag 2.80, 4 Rh 2.90, 4 Mg 2.90

[3]
Entry from the Alexandria database: a relaxed structure of MgAg2Rh (PBE).

Output
N(E_F): 2.768 states/eV per cell
density: 8.4 Mg/m³
energy of formation: 0.0848 eV per atom
total magnetization: 0.56 μB per formula unit
SG: No. 166

abc: 9.4632 9.4632 9.4632
angles: 17.63 17.63 17.63
With the nearest neighbours (Å) after each atom.
Element x y z (fractional)
Ag: 0.0005 0.0005 0.0005  3 Rh 2.86, 3 Mg 2.88, 6 Ag 2.90
Ag: 0.4995 0.4995 0.4995  3 Rh 2.86, 3 Mg 2.88, 6 Ag 2.90
Mg: 0.2500 0.2500 0.2500  6 Ag 2.88, 6 Mg 2.90
Rh: 0.7500 0.7500 0.7500  6 Ag 2.86, 6 Rh 2.90

[4]
Entry from the Alexandria database: a relaxed structure of Mg2AgRh (PBE).

Output
N(E_F): 1.081 states/eV per cell
density: 6.3 Mg/m³
energy of formation: -0.3092 eV per atom
total magnetization: 0.00 μB per formula unit
SG: No. 8

abc: 5.1687 5.1687 4.5640
angles: 73.25 73.25 35.72
With the nearest neighbours (Å) after each atom.
Element x y z (fractional)
Mg: 0.9921 0.9921 0.0455  4 Rh 2.74-2.82, 3 Ag 2.79-2.83
Mg: 0.7659 0.7659 0.6916  3 Rh 2.71-2.88, 4 Ag 2.77-2.81
Rh: 0.4995 0.4995 0.5509  7 Mg 2.71-2.88, 2 Ag 2.89
Ag: 0.2425 0.2425 0.2119  7 Mg 2.77-2.83, 2 Rh 2.89

[5]
Entry from the Alexandria database: a relaxed structure of Mg6AgRh (PBE).

Output
N(E_F): 2.506 states/eV per cell
density: 3.8 Mg/m³
energy of formation: -0.2171 eV per atom
total magnetization: 0.00 μB per formula unit
SG: No. 139

abc: 8.0287 8.0287 8.0287
angles: 146.61 146.61 47.93
With the nearest neighbours (Å) after each atom.
Element x y z (fractional)
Mg: 0.2564 0.2564 0.0000  12 Mg 3.07-3.27
Mg: 0.8949 0.3949 0.5000  2 Rh 2.77, 2 Ag 2.77, 3 Mg 3.07-3.09
Mg: 0.3949 0.8949 0.5000  2 Rh 2.77, 2 Ag 2.77, 3 Mg 3.07-3.09
Mg: 0.1051 0.6051 0.5000  2 Rh 2.77, 2 Ag 2.77, 3 Mg 3.07-3.09
Mg: 0.7436 0.7436 0.0000  12 Mg 3.07-3.27
Mg: 0.6051 0.1051 0.5000  2 Rh 2.77, 2 Ag 2.77, 3 Mg 3.07-3.09
Ag: 0.0000 0.0000 0.0000  8 Mg 2.77
Rh: 0.5000 0.5000 0.0000  8 Mg 2.77

[6]
Entry from the Alexandria database: a relaxed structure of Mg5AgRh2 (PBE).

Output
N(E_F): 10.006 states/eV per cell
density: 5.3 Mg/m³
energy of formation: -0.3233 eV per atom
total magnetization: 0.00 μB per formula unit
SG: No. 55

abc: 4.3565 5.6573 11.1529
angles: 90.00 90.00 90.00
With the nearest neighbours (Å) after each atom.
Element x y z (fractional)
Mg: 0.0000 0.0000 0.5000  2 Ag 2.83, 4 Rh 2.85, 6 Mg 2.95-3.06
Mg: 0.0000 0.5000 0.0000  2 Ag 2.83, 4 Rh 2.85, 6 Mg 2.95-3.06
Mg: 0.0000 0.9098 0.2397  1 Ag 2.72, 4 Rh 2.78-2.99, 5 Mg 2.84-3.00
Mg: 0.0000 0.0902 0.7603  1 Ag 2.72, 4 Rh 2.78-2.99, 5 Mg 2.84-3.00
Mg: 0.0000 0.5902 0.7397  1 Ag 2.72, 4 Rh 2.78-2.99, 5 Mg 2.84-3.00
Mg: 0.0000 0.4098 0.2603  1 Ag 2.72, 4 Rh 2.78-2.99, 5 Mg 2.84-3.00
Mg: 0.5000 0.6912 0.3877  2 Ag 2.74, 4 Rh 2.77-2.91, 6 Mg 3.00-3.06
Mg: 0.5000 0.3088 0.6123  2 Ag 2.74, 4 Rh 2.77-2.91, 6 Mg 3.00-3.06
Mg: 0.5000 0.8088 0.8877  2 Ag 2.74, 4 Rh 2.77-2.91, 6 Mg 3.00-3.06
Mg: 0.5000 0.1912 0.1123  2 Ag 2.74, 4 Rh 2.77-2.91, 6 Mg 3.00-3.06
Ag: 0.0000 0.5000 0.5000  8 Mg 2.72-2.83
Ag: 0.0000 0.0000 0.0000  8 Mg 2.72-2.83
Rh: 0.5000 0.6791 0.1373  10 Mg 2.77-2.99
Rh: 0.5000 0.3209 0.8627  10 Mg 2.77-2.99
Rh: 0.5000 0.8209 0.6373  10 Mg 2.77-2.99
Rh: 0.5000 0.1791 0.3627  10 Mg 2.77-2.99

[7]
Entry from the Alexandria database: a relaxed structure of Mg8AgRh2 (PBE).

Output
N(E_F): 5.820 states/eV per cell
density: 4.0 Mg/m³
energy of formation: -0.2474 eV per atom
total magnetization: 0.00 μB per formula unit
SG: No. 65

abc: 4.5124 6.9728 6.9728
angles: 105.67 90.00 90.00
With the nearest neighbours (Å) after each atom.
Element x y z (fractional)
Mg: 0.0000 0.9610 0.6889  2 Rh 2.74-3.07, 7 Mg 2.83-3.04
Mg: 0.0000 0.6889 0.9610  2 Rh 2.74-3.07, 7 Mg 2.83-3.04
Mg: 0.5000 0.6633 0.6633  7 Mg 2.75-3.04, 1 Ag 2.84, 4 Rh 2.97
Mg: 0.5000 0.7422 0.2578  2 Rh 2.62, 1 Ag 2.86
Mg: 0.5000 0.2578 0.7422  2 Rh 2.62, 1 Ag 2.86
Mg: 0.5000 0.3367 0.3367  7 Mg 2.75-3.04, 1 Ag 2.84, 4 Rh 2.97
Mg: 0.0000 0.3111 0.0390  2 Rh 2.74-3.07, 7 Mg 2.83-3.04
Mg: 0.0000 0.0390 0.3111  2 Rh 2.74-3.07, 7 Mg 2.83-3.04
Ag: 0.5000 0.0000 0.0000  12 Mg 2.84-3.09
Rh: 0.0000 0.3778 0.6222  4 Mg 2.62-2.74, 1 Rh 2.72
Rh: 0.0000 0.6222 0.3778  4 Mg 2.62-2.74, 1 Rh 2.72

[8]
Entry from the Alexandria database: a relaxed structure of MgAg2Rh (PBE).

Output
N(E_F): 3.370 states/eV per cell
density: 8.5 Mg/m³
energy of formation: -0.0185 eV per atom
total magnetization: 0.00 μB per formula unit
SG: No. 47

abc: 2.9074 4.1206 5.6021
angles: 90.00 90.00 90.00
With the nearest neighbours (Å) after each atom.
Element x y z (fractional)
Ag: 0.0000 0.0000 0.9963  4 Ag 2.76-2.91, 4 Rh 2.87, 4 Mg 2.89
Ag: 0.0000 0.0000 0.5037  4 Ag 2.76-2.91, 4 Rh 2.87, 4 Mg 2.89
Mg: 0.5000 0.5000 0.2500  2 Rh 2.80, 8 Ag 2.89, 2 Mg 2.91
Rh: 0.5000 0.5000 0.7500  2 Mg 2.80, 8 Ag 2.87, 2 Rh 2.91

[9]
Entry from the Alexandria database: a relaxed structure of Mg2AgRh2 (PBE).

Output
N(E_F): 5.341 states/eV per cell
density: 7.2 Mg/m³
energy of formation: -0.2276 eV per atom
total magnetization: 0.00 μB per formula unit
SG: No. 127

abc: 7.2175 7.2175 3.2019
angles: 90.00 90.00 90.00
With the nearest neighbours (Å) after each atom.
Element x y z (fractional)
Mg: 0.1657 0.6657 0.5000  6 Rh 2.61-2.69
Mg: 0.6657 0.8343 0.5000  6 Rh 2.61-2.69
Mg: 0.8343 0.3343 0.5000  6 Rh 2.61-2.69
Mg: 0.3343 0.1657 0.5000  6 Rh 2.61-2.69
Rh: 0.3680 0.8680 0.0000  6 Mg 2.61-2.69, 1 Rh 2.70, 2 Ag 2.82
Rh: 0.8680 0.6320 0.0000  6 Mg 2.61-2.69, 1 Rh 2.70, 2 Ag 2.82
Rh: 0.6320 0.1320 0.0000  6 Mg 2.61-2.69, 1 Rh 2.70, 2 Ag 2.82
Rh: 0.1320 0.3680 0.0000  6 Mg 2.61-2.69, 1 Rh 2.70, 2 Ag 2.82
Ag: 0.0000 0.0000 0.0000  4 Rh 2.82, 8 Mg 3.13
Ag: 0.5000 0.5000 0.0000  4 Rh 2.82, 8 Mg 3.13

[10]
Entry from the Alexandria database: a relaxed structure of Mg6Ag5Rh (PBE).

Output
N(E_F): 3.982 states/eV per cell
density: 6.1 Mg/m³
energy of formation: -0.2878 eV per atom
total magnetization: 0.00 μB per formula unit
SG: No. 12

abc: 4.6071 6.7524 8.0559
angles: 114.78 107.51 90.01
With the nearest neighbours (Å) after each atom.
Element x y z (fractional)
Mg: 0.8372 0.5990 0.6794  1 Rh 2.75, 7 Ag 2.82-2.91
Mg: 0.8375 0.0811 0.6797  1 Rh 2.75, 7 Ag 2.82-2.90
Mg: 0.4999 0.7686 0.0000  2 Rh 2.78, 6 Ag 2.84-2.94
Mg: 0.5001 0.2314 0.0000  2 Rh 2.78, 6 Ag 2.84-2.94
Mg: 0.1625 0.9189 0.3203  1 Rh 2.75, 7 Ag 2.82-2.90
Mg: 0.1628 0.4010 0.3206  1 Rh 2.75, 7 Ag 2.82-2.91
Rh: 0.0000 0.0000 0.0000  8 Mg 2.75-2.78
Ag: 0.6729 0.1717 0.3435  8 Mg 2.82-2.91, 1 Ag 3.15
Ag: 0.3283 0.3324 0.6649  8 Mg 2.88-2.94, 1 Ag 3.15
Ag: 0.0000 0.5000 0.0000  8 Mg 2.82-2.93
Ag: 0.6717 0.6676 0.3351  8 Mg 2.88-2.94, 1 Ag 3.15
Ag: 0.3271 0.8283 0.6565  8 Mg 2.82-2.91, 1 Ag 3.15

[11]
Entry from the Alexandria database: a relaxed structure of MgAg2Rh (PBE).

Output
N(E_F): 1.889 states/eV per cell
density: 8.5 Mg/m³
energy of formation: -0.1276 eV per atom
total magnetization: 0.00 μB per formula unit
SG: No. 8

abc: 4.8394 4.8394 4.1673
angles: 64.42 64.42 51.22
With the nearest neighbours (Å) after each atom.
Element x y z (fractional)
Ag: 0.0000 0.0000 0.0000  4 Ag 2.83-2.84, 4 Rh 2.83-2.84, 4 Mg 2.95
Ag: 0.7498 0.7498 0.7502  4 Mg 2.83-2.84, 4 Ag 2.83-2.84, 4 Rh 2.95
Mg: 0.4999 0.4999 0.5002  4 Rh 2.83-2.84, 8 Ag 2.83-2.95
Rh: 0.2503 0.2503 0.2497  4 Mg 2.83-2.84, 8 Ag 2.83-2.95

[12]
Entry from the Alexandria database: a relaxed structure of MgAg2Rh (PBE).

Output
N(E_F): 2.968 states/eV per cell
density: 8.4 Mg/m³
energy of formation: 0.0218 eV per atom
total magnetization: 0.00 μB per formula unit
SG: No. 123

abc: 3.3748 3.3748 5.9612
angles: 90.00 90.00 90.00
With the nearest neighbours (Å) after each atom.
Element x y z (fractional)
Ag: 0.0000 0.0000 0.9971  4 Rh 2.80, 4 Mg 2.82, 2 Ag 2.95-3.02
Ag: 0.0000 0.0000 0.5029  4 Rh 2.80, 4 Mg 2.82, 2 Ag 2.95-3.02
Mg: 0.5000 0.5000 0.2500  8 Ag 2.82, 2 Rh 2.98
Rh: 0.5000 0.5000 0.7500  8 Ag 2.80, 2 Mg 2.98

Uncorrected energy (eV/atom)
-3.24 -3.81 -3.58 -3.66 -2.69 -3.51 -3.00 -3.68 -4.38 -2.89 -3.79 -3.64